No. 1
Here is crystalline Rb2AcTiO4 at its relaxed geometry from the Alexandria database. Energies are from PBE-GGA.

Summary:
As for the space group: I-4 (82). The raw total energy is -52.9 eV for the cell shown. The calculation puts the formation energy (no corrections) at -2394 meV/atom.

Lattice parameters (Å, degrees): 6.272 6.272 6.272 114.98 114.98 98.93
Atoms (fractional coordinates):
Rb: 0.000 0.000 0.000
Rb: 0.750 0.250 0.500
Ac: 0.500 0.500 0.000
Ti: 0.250 0.750 0.500
O: 0.269 0.074 0.576
O: 0.307 0.731 0.805
O: 0.498 0.693 0.424
O: 0.926 0.502 0.195

=====

No. 2
Here is crystalline RbAc2TlO5 at its relaxed geometry from the Alexandria database. Energies are from PBE-GGA.

Summary:
As for the space group: I4/mcm (140). The raw total energy is -112.7 eV for the cell shown. The calculation puts the formation energy (no corrections) at -2225 meV/atom.

Lattice parameters (Å, degrees): 8.199 8.199 8.199 127.20 127.20 77.92
Atoms (fractional coordinates):
Rb: 0.250 0.250 0.000
Rb: 0.750 0.750 0.000
Ac: 0.181 0.681 0.863
Ac: 0.319 0.181 0.500
Ac: 0.681 0.819 0.500
Ac: 0.819 0.319 0.137
Tl: 0.250 0.750 0.500
Tl: 0.750 0.250 0.500
O: 0.000 0.000 0.000
O: 0.017 0.238 0.500
O: 0.238 0.738 0.221
O: 0.262 0.483 0.500
O: 0.483 0.983 0.221
O: 0.500 0.500 0.000
O: 0.517 0.017 0.779
O: 0.738 0.517 0.500
O: 0.762 0.262 0.779
O: 0.983 0.762 0.500

=====

No. 3
Here is crystalline RbAcTlO4 at its relaxed geometry from the Alexandria database. Energies are from PBE-GGA.

Summary:
As for the space group: Imma (74). The raw total energy is -75.3 eV for the cell shown. The calculation puts the formation energy (no corrections) at -1480 meV/atom.

Lattice parameters (Å, degrees): 7.452 7.452 7.452 127.08 115.33 88.23
Atoms (fractional coordinates):
Rb: 0.500 0.000 0.000
Rb: 0.500 0.500 0.500
Ac: 0.000 0.000 0.000
Ac: 0.500 0.000 0.500
Tl: 0.116 0.366 0.750
Tl: 0.884 0.634 0.250
O: 0.204 0.237 0.967
O: 0.230 0.763 0.467
O: 0.240 0.223 0.483
O: 0.240 0.757 0.017
O: 0.760 0.243 0.983
O: 0.760 0.777 0.517
O: 0.770 0.237 0.533
O: 0.796 0.763 0.033

=====

No. 4
Here is crystalline RbAcTlO3 at its relaxed geometry from the Alexandria database. Energies are from PBE-GGA.

Summary:
As for the space group: P2_1/m (11). The raw total energy is -66.2 eV for the cell shown. The calculation puts the formation energy (no corrections) at -1796 meV/atom.

Lattice parameters (Å, degrees): 7.803 3.694 8.411 90.00 98.19 90.00
Atoms (fractional coordinates):
Rb: 0.093 0.250 0.364
Rb: 0.907 0.750 0.636
Ac: 0.458 0.750 0.700
Ac: 0.542 0.250 0.300
Tl: 0.182 0.250 0.960
Tl: 0.818 0.750 0.040
O: 0.220 0.250 0.702
O: 0.348 0.750 0.030
O: 0.375 0.750 0.407
O: 0.625 0.250 0.593
O: 0.652 0.250 0.970
O: 0.780 0.750 0.298

=====

No. 5
Here is crystalline RbAc2TlO4 at its relaxed geometry from the Alexandria database. Energies are from PBE-GGA.

Summary:
As for the space group: Cmcm (63). The raw total energy is -99.0 eV for the cell shown. The calculation puts the formation energy (no corrections) at -2268 meV/atom.

Lattice parameters (Å, degrees): 7.016 7.016 13.779 90.00 90.00 147.15
Atoms (fractional coordinates):
Rb: 0.011 0.989 0.750
Rb: 0.989 0.011 0.250
Ac: 0.364 0.636 0.552
Ac: 0.364 0.636 0.948
Ac: 0.636 0.364 0.052
Ac: 0.636 0.364 0.448
Tl: 0.269 0.731 0.250
Tl: 0.731 0.269 0.750
O: 0.000 0.000 0.000
O: 0.000 0.000 0.500
O: 0.234 0.766 0.072
O: 0.234 0.766 0.428
O: 0.363 0.637 0.750
O: 0.637 0.363 0.250
O: 0.766 0.234 0.572
O: 0.766 0.234 0.928

=====

No. 6
Here is crystalline Rb2AcTlO4 at its relaxed geometry from the Alexandria database. Energies are from PBE-GGA.

Summary:
As for the space group: P2/m (10). The raw total energy is -41.9 eV for the cell shown. The calculation puts the formation energy (no corrections) at -1701 meV/atom.

Lattice parameters (Å, degrees): 6.321 3.756 7.016 90.00 108.56 90.00
Atoms (fractional coordinates):
Rb: 0.000 0.000 0.000
Rb: 0.500 0.500 0.000
Ac: 0.000 0.500 0.500
Tl: 0.500 0.000 0.500
O: 0.237 0.000 0.692
O: 0.284 0.500 0.310
O: 0.716 0.500 0.690
O: 0.763 0.000 0.308

=====

No. 7
Here is crystalline Rb3Ac2TmO6 at its relaxed geometry from the Alexandria database. Energies are from PBE-GGA.

Summary:
As for the space group: C2/m (12). The raw total energy is -76.2 eV for the cell shown. The calculation puts the formation energy (no corrections) at -2576 meV/atom.

Lattice parameters (Å, degrees): 6.481 6.481 6.962 98.85 98.85 120.05
Atoms (fractional coordinates):
Rb: 0.000 0.000 0.000
Rb: 0.339 0.661 0.000
Rb: 0.661 0.339 0.000
Ac: 0.167 0.833 0.500
Ac: 0.833 0.167 0.500
Tm: 0.500 0.500 0.500
O: 0.132 0.440 0.320
O: 0.252 0.252 0.680
O: 0.440 0.132 0.320
O: 0.560 0.868 0.680
O: 0.748 0.748 0.320
O: 0.868 0.560 0.680

=====

No. 8
Here is crystalline Rb4Ac3TmO8 at its relaxed geometry from the Alexandria database. Energies are from PBE-GGA.

Summary:
As for the space group: R-3m (166). The raw total energy is -101.1 eV for the cell shown. The calculation puts the formation energy (no corrections) at -2546 meV/atom.

Lattice parameters (Å, degrees): 7.944 7.944 7.944 56.86 56.86 56.86
Atoms (fractional coordinates):
Rb: 0.000 0.000 0.000
Rb: 0.000 0.500 0.500
Rb: 0.500 0.000 0.500
Rb: 0.500 0.500 0.000
Ac: 0.000 0.000 0.500
Ac: 0.000 0.500 0.000
Ac: 0.500 0.000 0.000
Tm: 0.500 0.500 0.500
O: 0.229 0.229 0.229
O: 0.249 0.715 0.715
O: 0.285 0.285 0.751
O: 0.285 0.751 0.285
O: 0.715 0.249 0.715
O: 0.715 0.715 0.249
O: 0.751 0.285 0.285
O: 0.771 0.771 0.771

=====

Repeat the seventh record exactly.
Here is crystalline Rb3Ac2TmO6 at its relaxed geometry from the Alexandria database. Energies are from PBE-GGA.

Summary:
As for the space group: C2/m (12). The raw total energy is -76.2 eV for the cell shown. The calculation puts the formation energy (no corrections) at -2576 meV/atom.

Lattice parameters (Å, degrees): 6.481 6.481 6.962 98.85 98.85 120.05
Atoms (fractional coordinates):
Rb: 0.000 0.000 0.000
Rb: 0.339 0.661 0.000
Rb: 0.661 0.339 0.000
Ac: 0.167 0.833 0.500
Ac: 0.833 0.167 0.500
Tm: 0.500 0.500 0.500
O: 0.132 0.440 0.320
O: 0.252 0.252 0.680
O: 0.440 0.132 0.320
O: 0.560 0.868 0.680
O: 0.748 0.748 0.320
O: 0.868 0.560 0.680

=====

> formation energy (no corrections) of number 1 (Rb2AcTiO4)?

-2394 meV/atom

=====

> Which of these has the highest formation energy (no corrections)?

RbAcTlO4